Material: AcPmSmAu
Method: DFT, PBE
State: optimized geometry

Cell lengths 5.528, 5.528, 5.528 Å; angles 60.00, 60.00, 60.00 degrees
Last column: magnetic moment on the atom in μB.
Fractional coordinates of all 4 atoms:
1 Au 0.750 0.750 0.750  0.03
2 Sm 0.000 0.000 0.000  0.19
3 Pm 0.500 0.500 0.500  0.20
4 Ac 0.250 0.250 0.250  0.22

Output
ΔH_f (0 K) = -0.0313 eV/atom
N(E_F) = 6.97 states/eV/f.u.
symmetry = No. 216
raw total energy = -4.25 eV/atom
ρ = 10.000 Mg/m³

=====

Material: Tm2ThH
Method: DFT, PBE
State: optimized geometry

Cell lengths 3.370, 3.370, 8.357 Å; angles 90.00, 90.00, 90.00 degrees
Fractional coordinates of all 4 atoms:
1 Tm 0.000 0.000 0.803
2 Th 0.500 0.500 0.500
3 Tm 0.000 0.000 0.197
4 H 0.500 0.500 0.000

Output
N(E_F) = 3.59 states/eV/f.u.
symmetry = No. 123
raw total energy = -4.77 eV/atom
ρ = 9.991 Mg/m³

=====

Material: TmIrPd
Method: DFT, PBE
State: optimized geometry

Cell lengths 4.133, 4.090, 6.739 Å; angles 107.62, 90.00, 90.00 degrees
Fractional coordinates of all 6 atoms:
1 Ir 0.250 0.748 0.499
2 Pd 0.250 0.086 0.172
3 Tm 0.250 0.395 0.795
4 Ir 0.750 0.252 0.501
5 Tm 0.750 0.605 0.205
6 Pd 0.750 0.914 0.828

Output
ΔH_f (0 K) = -0.6306 eV/atom
N(E_F) = 2.29 states/eV/f.u.
symmetry = No. 11
raw total energy = -6.81 eV/atom
ρ = 14.305 Mg/m³

=====

Material: La2InB2Rh5
Method: DFT, PBE
State: optimized geometry

Cell lengths 3.281, 9.910, 9.910 Å; angles 90.00, 90.00, 90.00 degrees
Fractional coordinates of all 20 atoms:
1 B 0.000 0.120 0.620
2 Rh 0.500 0.269 0.570
3 Rh 0.500 0.070 0.769
4 La 0.000 0.322 0.822
5 Rh 0.500 0.231 0.070
6 Rh 0.500 0.930 0.231
7 La 0.000 0.822 0.678
8 B 0.000 0.380 0.120
9 Rh 0.500 0.500 0.000
10 In 0.000 0.000 0.000
11 B 0.000 0.880 0.380
12 In 0.000 0.500 0.500
13 Rh 0.500 0.570 0.731
14 B 0.000 0.620 0.880
15 Rh 0.500 0.731 0.430
16 La 0.000 0.178 0.322
17 Rh 0.500 0.769 0.930
18 La 0.000 0.678 0.178
19 Rh 0.500 0.000 0.500
20 Rh 0.500 0.430 0.269

Output
ΔH_f (0 K) = -0.6679 eV/atom
N(E_F) = 4.35 states/eV/f.u.
symmetry = No. 127
raw total energy = -6.94 eV/atom
ρ = 9.574 Mg/m³

=====

Material: MgHgGe2S6
Method: DFT, PBE
State: optimized geometry

Cell lengths 6.663, 8.679, 8.679 Å; angles 85.08, 74.42, 74.42 degrees
Fractional coordinates of all 20 atoms:
1 S 0.119 0.617 0.115
2 Mg 0.750 0.109 0.891
3 Hg 0.250 0.268 0.732
4 S 0.638 0.820 0.957
5 S 0.381 0.885 0.383
6 Ge 0.750 0.626 0.781
7 S 0.362 0.180 0.043
8 S 0.495 0.565 0.686
9 S 0.862 0.043 0.180
10 Hg 0.750 0.732 0.268
11 Ge 0.250 0.781 0.626
12 S 0.005 0.314 0.435
13 S 0.619 0.115 0.617
14 S 0.505 0.435 0.314
15 Ge 0.750 0.219 0.374
16 S 0.138 0.957 0.820
17 Ge 0.250 0.374 0.219
18 S 0.995 0.686 0.565
19 S 0.881 0.383 0.885
20 Mg 0.250 0.891 0.109

Output
uncorrected formation energy = -4.56 eV per formula unit
N(E_F) = 0.00 states/eV/f.u.
symmetry = No. 15
raw total energy = -4.05 eV/atom
ρ = 4.012 Mg/m³

=====

Material: La2NbN
Method: DFT, PBE
State: optimized geometry

Cell lengths 3.415, 3.415, 9.387 Å; angles 79.52, 79.52, 60.00 degrees
Last column: magnetic moment on the atom in μB.
Fractional coordinates of all 4 atoms:
1 N 0.500 0.500 0.500  0.02
2 La 0.889 0.889 0.334  0.04
3 Nb 0.000 0.000 0.000  0.84
4 La 0.111 0.111 0.666  0.04

Output
uncorrected formation energy = -0.25 eV per formula unit
N(E_F) = 4.05 states/eV/f.u.
symmetry = No. 166
raw total energy = -7.13 eV/atom
ρ = 6.894 Mg/m³

=====

Question: Which formula does entry 3 have?
Answer: TmIrPd